# 1
DFT (PBE-GGA) results for an optimized crystal structure of MoIrOs2.

Computed properties:
Energy of formation from the pure elements   -14 meV per atom
Crystal system   tetragonal
Energy relative to the lowest polymorph listed for this composition   0.34 eV per formula unit

Unit cell a=2.746 b=2.746 c=7.849 alpha=90.00 beta=90.00 gamma=90.00
Space group P4mm (No. 99)
Asymmetric unit:
Mo: 0.000 0.000 0.000 [1 per cell]
Ir: 0.500 0.500 0.754 [1 per cell]
Os: 0.000 0.000 0.497 [1 per cell]
Os: 0.500 0.500 0.269 [1 per cell]



# 2
DFT (PBE-GGA) results for an optimized crystal structure of PaTcB14.

Computed properties:
Energy of formation from the pure elements   -80 meV per atom
Crystal system   orthorhombic

Unit cell a=5.865 b=10.901 c=8.197 alpha=90.00 beta=90.00 gamma=90.00
Space group Imma (No. 74)
Asymmetric unit:
Pa: 0.000 0.250 0.124 [4 per cell]
Tc: 0.250 0.250 0.750 [4 per cell]
B: 0.000 0.081 0.672 [8 per cell]
B: 0.000 0.122 0.870 [8 per cell]
B: 0.000 0.168 0.465 [8 per cell]
B: 0.163 0.064 0.339 [16 per cell]
B: 0.246 0.078 0.549 [16 per cell]



Q: Look up the energy of formation from the pure elements of the first one.
A: -14 meV per atom



Q: energy of formation from the pure elements of number 1 (MoIrOs2)?
A: -14 meV per atom